No. 1
RhC | meta-GGA SCAN | single point on PBEsol structure

Cell lengths 3.2639, 3.2639, 5.4383 Å; angles 72.54, 72.54, 60.00 degrees
Fractional coordinates of all 4 atoms:
C 0.0917 0.0917 0.7249
C 0.9083 0.9083 0.2751
Rh 0.5957 0.5957 0.2128
Rh 0.4043 0.4043 0.7872

Output
Formation energy from the elements = 879 meV per atom

=====

No. 2
RhC | meta-GGA SCAN | single point on PBEsol structure

Cell lengths 2.6811, 3.0742, 5.7119 Å; angles 90.00, 90.00, 90.00 degrees
Fractional coordinates of all 4 atoms:
C 0.1034 0.0000 0.2500
C 0.8966 0.0000 0.7500
Rh 0.5204 0.5000 0.2500
Rh 0.4796 0.5000 0.7500

Output
Formation energy from the elements = 1036 meV per atom

=====

No. 3
Rh3C | meta-GGA SCAN | single point on PBEsol structure

Cell lengths 2.6525, 2.6525, 6.5204 Å; angles 90.00, 90.00, 90.00 degrees
Last column: magnetic moment on the atom in μB.
Fractional coordinates of all 4 atoms:
C 0.0000 0.0000 0.0000  -0.02
Rh 0.5000 0.5000 0.1948  0.26
Rh 0.0000 0.0000 0.5000  0.70
Rh 0.5000 0.5000 0.8052  0.26

Output
Formation energy from the elements = 647 meV per atom

=====

No. 4
RhCS3 | meta-GGA SCAN | single point on PBEsol structure

Cell lengths 4.5288, 4.5288, 4.5288 Å; angles 90.00, 90.00, 90.00 degrees
Last column: magnetic moment on the atom in μB.
Fractional coordinates of all 5 atoms:
S 0.0000 0.5000 0.0000  -0.62
S 0.0000 0.0000 0.5000  -0.62
S 0.5000 0.0000 0.0000  -0.62
Rh 0.0000 0.0000 0.0000  -0.74
C 0.5000 0.5000 0.5000  0.79

Output
E_form (uncorrected) = 1.770 eV/atom

=====

No. 5
RhCS2 | meta-GGA SCAN | single point on PBEsol structure

Cell lengths 4.9877, 5.6194, 4.9877 Å; angles 63.65, 90.00, 116.35 degrees
Fractional coordinates of all 8 atoms:
S 0.5690 0.7500 0.3750
S 0.1810 0.7500 0.8750
S 0.8750 0.2500 0.5690
S 0.3750 0.2500 0.1810
Rh 0.7500 0.5000 0.7500
Rh 0.0000 0.0000 0.0000
C 0.2500 0.5000 0.2500
C 0.5000 0.0000 0.5000

Output
E_form (uncorrected) = 0.734 eV/atom

=====

No. 6
Sb2TeRhC | meta-GGA SCAN | single point on PBEsol structure

Cell lengths 4.9416, 4.9416, 5.3595 Å; angles 90.00, 90.00, 90.00 degrees
Last column: magnetic moment on the atom in μB.
Fractional coordinates of all 5 atoms:
Sb 0.0000 0.5000 0.0000  -0.03
Sb 0.5000 0.0000 0.0000  -0.03
C 0.5000 0.5000 0.5000  0.88
Te 0.0000 0.0000 0.5000  -0.29
Rh 0.0000 0.0000 0.0000  -0.09

Output
E_form (uncorrected) = 1.574 eV/atom

=====

No. 7
SbRh2WC | meta-GGA SCAN | single point on PBEsol structure

Cell lengths 4.6100, 4.6100, 5.1497 Å; angles 90.00, 90.00, 90.00 degrees
Last column: magnetic moment on the atom in μB.
Fractional coordinates of all 5 atoms:
Sb 0.0000 0.0000 0.5000  -0.08
C 0.5000 0.5000 0.5000  0.63
Rh 0.0000 0.5000 0.0000  -0.04
Rh 0.5000 0.0000 0.0000  -0.04
W 0.0000 0.0000 0.0000  0.10

Output
E_form (uncorrected) = 2.409 eV/atom

=====

No. 8
Sc3RhC | meta-GGA SCAN | single point on PBEsol structure

Cell lengths 4.8245, 4.8245, 4.8245 Å; angles 90.00, 90.00, 90.00 degrees
Fractional coordinates of all 5 atoms:
Sc 0.0000 0.5000 0.0000
Sc 0.0000 0.0000 0.5000
Sc 0.5000 0.0000 0.0000
C 0.5000 0.5000 0.5000
Rh 0.0000 0.0000 0.0000

Output
Formation energy from the elements = 837 meV per atom

=====

No. 9
Rh3CSe | meta-GGA SCAN | single point on PBEsol structure

Cell lengths 4.0582, 4.0582, 4.0582 Å; angles 90.00, 90.00, 90.00 degrees
Last column: magnetic moment on the atom in μB.
Fractional coordinates of all 5 atoms:
C 0.0000 0.0000 0.0000  -0.02
Rh 0.0000 0.5000 0.0000  0.55
Rh 0.0000 0.0000 0.5000  0.55
Rh 0.5000 0.0000 0.0000  0.55
Se 0.5000 0.5000 0.5000  0.17

Output
E_form (uncorrected) = 0.371 eV/atom

=====

No. 10
RhC2Se | meta-GGA SCAN | single point on PBEsol structure

Cell lengths 4.6895, 4.6895, 5.6531 Å; angles 114.51, 114.51, 90.00 degrees
Fractional coordinates of all 8 atoms:
C 0.3646 0.8750 0.2500
C 0.8854 0.3750 0.2500
C 0.1250 0.1146 0.7500
C 0.6250 0.6354 0.7500
Rh 0.2500 0.7500 0.5000
Rh 0.0000 0.0000 0.0000
Se 0.7500 0.2500 0.5000
Se 0.5000 0.5000 0.0000

Output
E_form (uncorrected) = 1.262 eV/atom

=====

No. 11
RhCSe3 | meta-GGA SCAN | single point on PBEsol structure

Cell lengths 4.7682, 4.7682, 4.7682 Å; angles 90.00, 90.00, 90.00 degrees
Last column: magnetic moment on the atom in μB.
Fractional coordinates of all 5 atoms:
C 0.5000 0.5000 0.5000  0.85
Rh 0.0000 0.0000 0.0000  -0.79
Se 0.0000 0.5000 0.0000  -0.68
Se 0.0000 0.0000 0.5000  -0.68
Se 0.5000 0.0000 0.0000  -0.68

Output
E_form (uncorrected) = 1.688 eV/atom

=====

No. 12
SiRh2C | meta-GGA SCAN | single point on PBEsol structure

Cell lengths 4.0106, 4.0106, 4.0106 Å; angles 60.00, 60.00, 60.00 degrees
Last column: magnetic moment on the atom in μB.
Fractional coordinates of all 4 atoms:
Si 0.5000 0.5000 0.5000  0.02
Rh 0.2500 0.2500 0.2500  0.51
Rh 0.7500 0.7500 0.7500  0.51
C 0.0000 0.0000 0.0000  0.20

Output
E_form (uncorrected) = 0.573 eV/atom

=====

Number 1: mass density 8.11 Mg/m³, E_tot -42.11 eV/f.u.. Number 2: mass density 8.11 Mg/m³, E_tot -41.80 eV/f.u.. Number 3: mass density 11.61 Mg/m³, E_tot -108.83 eV/f.u.. Number 4: mass density 3.77 Mg/m³, E_tot -63.91 eV/f.u.. Number 5: mass density 5.46 Mg/m³, E_tot -60.19 eV/f.u.. Number 6: mass density 6.17 Mg/m³, E_tot -147.77 eV/f.u.. Number 7: mass density 7.94 Mg/m³, E_tot -172.54 eV/f.u.. Number 8: mass density 3.69 Mg/m³, E_tot -82.40 eV/f.u.. Number 9: mass density 9.93 Mg/m³, E_tot -129.64 eV/f.u.. Number 10: mass density 6.79 Mg/m³, E_tot -69.00 eV/f.u.. Number 11: mass density 5.39 Mg/m³, E_tot -95.67 eV/f.u.. Number 12: mass density 8.95 Mg/m³, E_tot -85.37 eV/f.u..